Below is an optimized crystal structure of Re4SbP, with properties calculated at the PBE level.

Its density of states at the Fermi level is 1.12 states/eV per atom. The value obtained for the volume is 17.23 A^3/atom. The total energy is -8.94 eV/atom.

Lattice parameters (Å, degrees): 5.2683 5.2683 5.2683 60.00 60.00 60.00
With the nearest neighbours (Å) after each atom.
Sites, in units of the cell vectors:
Re 0.1243 0.1243 0.1243  6 Re 2.62-2.65
Re 0.1243 0.1243 0.6270  6 Re 2.62-2.65
Re 0.1243 0.6270 0.1243  6 Re 2.62-2.65
Re 0.6270 0.1243 0.1243  6 Re 2.62-2.65
Sb 0.5000 0.5000 0.5000  12 Re 3.09, 4 P 3.23
P 0.7500 0.7500 0.7500  12 Re 3.09, 4 Sb 3.23

---

Below is an optimized crystal structure of TeOsPdPb2, with properties calculated at the PBE level.

Its density of states at the Fermi level is 0.98 states/eV per atom. The value obtained for the volume is 28.87 A^3/atom. The total energy is -4.44 eV/atom.

Lattice parameters (Å, degrees): 5.3866 5.3866 4.9753 90.00 90.00 90.00
With the nearest neighbours (Å) after each atom.
Sites, in units of the cell vectors:
Te 0.0000 0.0000 0.0000  8 Pb 3.67, 4 Os 3.81
Os 0.5000 0.5000 0.0000  2 Pd 2.49
Pd 0.5000 0.5000 0.5000  2 Os 2.49, 4 Pb 2.69
Pb 0.0000 0.5000 0.5000  2 Pd 2.69
Pb 0.5000 0.0000 0.5000  2 Pd 2.69

---

Below is an optimized crystal structure of La2GaFeBi, with properties calculated at the PBE level.

Its density of states at the Fermi level is 0.50 states/eV per atom. Its energy relative to the elements is -0.521 eV per atom. The value obtained for the volume is 26.03 A^3/atom.

Lattice parameters (Å, degrees): 5.2425 5.2425 4.7361 90.00 90.00 90.00
With the nearest neighbours (Å) after each atom.
Sites, in units of the cell vectors:
La 0.0000 0.5000 0.0000  2 Fe 2.62
La 0.5000 0.0000 0.0000  2 Fe 2.62
Ga 0.0000 0.0000 0.5000  2 Fe 2.37
Fe 0.0000 0.0000 0.0000  2 Ga 2.37, 4 La 2.62
Bi 0.5000 0.5000 0.5000  8 La 3.53, 4 Ga 3.71

---

Below is an optimized crystal structure of CeDyGaRu, with properties calculated at the PBE level.

As for the relative energy among the computed polymorphs: 57 kJ/mol of formula units. Its density of states at the Fermi level is 1.23 states/eV per atom. Its energy relative to the elements is -0.381 eV per atom. The value obtained for the volume is 21.77 A^3/atom.

Lattice parameters (Å, degrees): 4.9754 4.9754 4.9754 60.00 60.00 60.00
With the nearest neighbours (Å) after each atom.
Sites, in units of the cell vectors:
Ce 0.0000 0.0000 0.0000  4 Ga 3.05, 4 Ru 3.05
Dy 0.5000 0.5000 0.5000  4 Ga 3.05, 4 Ru 3.05
Ga 0.7500 0.7500 0.7500  4 Ce 3.05, 4 Dy 3.05
Ru 0.2500 0.2500 0.2500  4 Ce 3.05, 4 Dy 3.05

---

Below is an optimized crystal structure of Pt5Rh2W, with properties calculated at the PBE level.

As for the relative energy among the computed polymorphs: 123 kJ/mol of formula units. Its density of states at the Fermi level is 0.89 states/eV per atom. Its energy relative to the elements is 0.060 eV per atom. The value obtained for the volume is 15.88 A^3/atom.

Lattice parameters (Å, degrees): 7.3571 7.3571 7.3571 125.58 125.58 80.58
With the nearest neighbours (Å) after each atom.
Sites, in units of the cell vectors:
Pt 0.0000 0.0000 0.0000  4 Rh 2.61, 2 W 2.81
Pt 0.0116 0.5116 0.1925  4 Pt 2.64-2.93, 3 Rh 2.70-2.72, 2 W 2.72
Pt 0.1809 0.9884 0.5000  4 Pt 2.64-2.93, 3 Rh 2.70-2.72, 2 W 2.72
Pt 0.3191 0.8191 0.8075  4 Pt 2.64-2.93, 3 Rh 2.70-2.72, 2 W 2.72
Pt 0.4884 0.6809 0.5000  4 Pt 2.64-2.93, 3 Rh 2.70-2.72, 2 W 2.72
Pt 0.5000 0.5000 0.0000  4 Rh 2.61, 2 W 2.81
Pt 0.5116 0.3191 0.5000  4 Pt 2.64-2.93, 3 Rh 2.70-2.72, 2 W 2.72
Pt 0.6809 0.1809 0.1925  4 Pt 2.64-2.93, 3 Rh 2.70-2.72, 2 W 2.72
Pt 0.8191 0.0116 0.5000  4 Pt 2.64-2.93, 3 Rh 2.70-2.72, 2 W 2.72
Pt 0.9884 0.4884 0.8075  4 Pt 2.64-2.93, 3 Rh 2.70-2.72, 2 W 2.72
Rh 0.1373 0.3627 0.5000  8 Pt 2.61-2.72, 1 Rh 2.61
Rh 0.3627 0.8627 0.2253  8 Pt 2.61-2.72, 1 Rh 2.61
Rh 0.6373 0.1373 0.7747  8 Pt 2.61-2.72, 1 Rh 2.61
Rh 0.8627 0.6373 0.5000  8 Pt 2.61-2.72, 1 Rh 2.61
W 0.2500 0.2500 0.0000  10 Pt 2.72-2.81
W 0.7500 0.7500 0.0000  10 Pt 2.72-2.81

---

Below is an optimized crystal structure of Sb3PdC, with properties calculated at the PBE level.

As for the relative energy among the computed polymorphs: 375 kJ/mol of formula units. Its density of states at the Fermi level is 0.81 states/eV per atom. The value obtained for the volume is 28.11 A^3/atom.

Lattice parameters (Å, degrees): 5.1990 5.1990 5.1990 90.00 90.00 90.00
With the nearest neighbours (Å) after each atom.
Sites, in units of the cell vectors:
Sb 0.0000 0.0000 0.5000  2 Pd 2.60
Sb 0.0000 0.5000 0.0000  2 Pd 2.60
Sb 0.5000 0.0000 0.0000  2 Pd 2.60
Pd 0.0000 0.0000 0.0000  6 Sb 2.60
C 0.5000 0.5000 0.5000  12 Sb 3.68

---

Q: Which formula does entry 3 have?
A: La2GaFeBi